(1)
MnOF | GGA-PBEsol | optimized geometry

Geometry as CIF:
```
data_MnOF
_symmetry_space_group_name_H-M 'P 1 21/c 1'
_symmetry_Int_Tables_number 14
_cell_length_a 5.036
_cell_length_b 4.552
_cell_length_c 5.618
_cell_angle_alpha 90.00
_cell_angle_beta 90.18
_cell_angle_gamma 90.00
loop_
_symmetry_equiv_pos_as_xyz
'x,y,z'
'-x,-y,-z'
'-x,y+1/2,-z+1/2'
'x,-y+1/2,z+1/2'
loop_
_atom_site_label
_atom_site_type_symbol
_atom_site_fract_x
_atom_site_fract_y
_atom_site_fract_z
Mn1 Mn 0.224 0.018 0.345
O1 O 0.082 0.219 0.614
F1 F 0.429 0.740 0.122
```

Values from the calculation:
total magnetization: 16.00 μB/cell
density of states at the Fermi level: 0.179 states/eV/atom
ΔE_f (raw): -183.6 kJ/mol of atoms

---

(2)
Fe3Ir | GGA-PBEsol | optimized geometry

Geometry as CIF:
```
data_Fe3Ir
_symmetry_space_group_name_H-M 'I m m 2'
_symmetry_Int_Tables_number 44
_cell_length_a 2.551
_cell_length_b 7.949
_cell_length_c 4.344
_cell_angle_alpha 90.00
_cell_angle_beta 90.00
_cell_angle_gamma 90.00
loop_
_symmetry_equiv_pos_as_xyz
'x,y,z'
'-x,-y,z'
'-x,y,z'
'x,-y,z'
'x+1/2,y+1/2,z+1/2'
'-x+1/2,-y+1/2,z+1/2'
'-x+1/2,y+1/2,z+1/2'
'x+1/2,-y+1/2,z+1/2'
loop_
_atom_site_label
_atom_site_type_symbol
_atom_site_fract_x
_atom_site_fract_y
_atom_site_fract_z
Fe1 Fe 0.000 0.000 0.000
Fe2 Fe 0.000 0.253 0.334
Ir1 Ir 0.000 0.500 0.995
```

Values from the calculation:
total magnetization: 0.00 μB/cell
density of states at the Fermi level: 1.182 states/eV/atom
energy of formation: -0.01 eV per atom

---

(3)
FeReRh2 | GGA-PBEsol | optimized geometry

Geometry as CIF:
```
data_FeReRh2
_symmetry_space_group_name_H-M 'P m m m'
_symmetry_Int_Tables_number 47
_cell_length_a 2.674
_cell_length_b 3.743
_cell_length_c 5.276
_cell_angle_alpha 90.00
_cell_angle_beta 90.00
_cell_angle_gamma 90.00
loop_
_symmetry_equiv_pos_as_xyz
'x,y,z'
'-x,-y,-z'
'-x,-y,z'
'x,y,-z'
'x,-y,-z'
'-x,y,z'
'-x,y,-z'
'x,-y,z'
loop_
_atom_site_label
_atom_site_type_symbol
_atom_site_fract_x
_atom_site_fract_y
_atom_site_fract_z
Fe1 Fe 0.000 0.000 0.000
Re1 Re 0.000 0.000 0.500
Rh1 Rh 0.500 0.500 0.247
```

Values from the calculation:
total magnetization: 2.64 μB/cell
density of states at the Fermi level: 0.606 states/eV/atom
energy of formation: -0.07 eV per atom

---

(4)
Al2GeIrPd | GGA-PBEsol | optimized geometry

Geometry as CIF:
```
data_Al2GeIrPd
_symmetry_space_group_name_H-M 'P 4/m m m'
_symmetry_Int_Tables_number 123
_symmetry_space_group_name_Hall '-P 4 2'
_cell_length_a 4.686
_cell_length_b 4.686
_cell_length_c 4.584
_cell_angle_alpha 90.00
_cell_angle_beta 90.00
_cell_angle_gamma 90.00
loop_
_atom_site_label
_atom_site_type_symbol
_atom_site_fract_x
_atom_site_fract_y
_atom_site_fract_z
Al1 Al 0.000 0.500 0.000
Ge1 Ge 0.000 0.000 0.500
Ir1 Ir 0.000 0.000 0.000
Pd1 Pd 0.500 0.500 0.500
```

Values from the calculation:
total magnetization: 0.00 μB/cell
density of states at the Fermi level: 0.336 states/eV/atom
energy of formation: 0.10 eV per atom

---

> Which value of total magnetization does entry 1 give?

16.00 μB/cell